The following is a DFT calculation (PBE) of a geometry-optimized Co2GeS3 structure.

Summary:
As for the total magnetization: 0.51 μB/f.u. The final energy comes out at -5.329 eV per atom.

Cell: 3.382 11.948 9.119 Å, 90.00 90.00 90.00°
Space group Cmcm (No. 63)
Unique sites:
Co 0.000 0.000 0.000 (multiplicity 4)
Co 0.000 0.461 0.250 (multiplicity 4)
Ge 0.000 0.217 0.750 (multiplicity 4)
S 0.000 0.074 0.250 (multiplicity 4)
S 0.000 0.371 0.044 (multiplicity 8)